(1)
An optimized crystal structure of Ba2LaTc. Source: Alexandria via LeMat-Bulk, functional PBE.

Output
Distance to the lowest polymorph of the same formula, meV per atom: 32
ΔH_f (0 K), eV/atom: 0.37
Total moment, μB per cell: 0.00
Density, kg/m³: 5709

Cell and atoms, written as POSCAR:
```
Ba2LaTc
1.0
3.7584 0.0000 0.0000
0.0000 3.7584 0.0000
0.0000 0.0000 10.5341
Ba La Tc
2 1 1
direct
0.0000 0.0000 0.0000
0.5000 0.5000 0.3612
0.0000 0.0000 0.6619
0.5000 0.5000 0.7943
```


(2)
An optimized crystal structure of ScFe2CoC. Source: Alexandria via LeMat-Bulk, functional PBE.

Output
ΔH_f (0 K), eV/atom: -0.21
Total moment, μB per cell: 1.94
Density, kg/m³: 6721

Cell and atoms, written as POSCAR:
```
ScFe2CoC
1.0
3.8273 0.0000 0.0000
0.0000 3.8273 0.0000
0.0000 0.0000 3.8388
Sc Fe Co C
1 2 1 1
direct
0.0000 0.0000 0.0000
0.0000 0.5000 0.5000
0.5000 0.0000 0.5000
0.5000 0.5000 0.0000
0.5000 0.5000 0.5000
```


Which value of total moment does entry 2 give?
1.94 μB per cell


Repeat the first record exactly.
An optimized crystal structure of Ba2LaTc. Source: Alexandria via LeMat-Bulk, functional PBE.

Output
Distance to the lowest polymorph of the same formula, meV per atom: 32
ΔH_f (0 K), eV/atom: 0.37
Total moment, μB per cell: 0.00
Density, kg/m³: 5709

Cell and atoms, written as POSCAR:
```
Ba2LaTc
1.0
3.7584 0.0000 0.0000
0.0000 3.7584 0.0000
0.0000 0.0000 10.5341
Ba La Tc
2 1 1
direct
0.0000 0.0000 0.0000
0.5000 0.5000 0.3612
0.0000 0.0000 0.6619
0.5000 0.5000 0.7943
```


density of number 2 (ScFe2CoC)?
6721 kg/m³


Look up the total moment of the first one.
0.00 μB per cell